(1)
The following is a GGA-PBEsol calculation of a relaxed K2NdAgBr6 crystal, from the Alexandria database.

Values from the calculation:
Symmetry   Fm-3m
Energy relative to the elements, uncorrected   -1439 meV/atom
ρ   3.85 Mg/m³
Calculated volume   34.94 A^3/atom

a = 7.9058 Å, b = 7.9058 Å, c = 7.9058 Å
α = 60.00°, β = 60.00°, γ = 60.00°
Atoms (fractional coordinates):
K: 0.7500 0.7500 0.7500
K: 0.2500 0.2500 0.2500
Nd: 0.5000 0.5000 0.5000
Ag: 0.0000 0.0000 0.0000
Br: 0.7534 0.2466 0.2466
Br: 0.7534 0.7534 0.2466
Br: 0.2466 0.7534 0.7534
Br: 0.7534 0.2466 0.7534
Br: 0.2466 0.7534 0.2466
Br: 0.2466 0.2466 0.7534

---

(2)
The following is a GGA-PBEsol calculation of a relaxed K2AgSbBr6 crystal, from the Alexandria database.

Values from the calculation:
Symmetry   Fm-3m
Energy relative to the elements, uncorrected   -972 meV/atom
ρ   3.94 Mg/m³
Calculated volume   33.20 A^3/atom

a = 7.7726 Å, b = 7.7726 Å, c = 7.7726 Å
α = 60.00°, β = 60.00°, γ = 60.00°
Atoms (fractional coordinates):
K: 0.7500 0.7500 0.7500
K: 0.2500 0.2500 0.2500
Ag: 0.5000 0.5000 0.5000
Sb: 0.0000 0.0000 0.0000
Br: 0.7480 0.2520 0.2520
Br: 0.7480 0.7480 0.2520
Br: 0.2520 0.7480 0.7480
Br: 0.7480 0.2520 0.7480
Br: 0.2520 0.7480 0.2520
Br: 0.2520 0.2520 0.7480

---

(3)
The following is a GGA-PBEsol calculation of a relaxed Li2AgBr crystal, from the Alexandria database.

Values from the calculation:
Symmetry   F-43m
Energy relative to the elements, uncorrected   -216 meV/atom
ρ   4.21 Mg/m³
Calculated volume   19.90 A^3/atom
Energy relative to the lowest polymorph listed for this composition   217 meV per atom

a = 4.8285 Å, b = 4.8285 Å, c = 4.8285 Å
α = 60.00°, β = 60.00°, γ = 60.00°
Atoms (fractional coordinates):
Ag: 0.5000 0.5000 0.5000
Br: 0.2500 0.2500 0.2500
Li: 0.0000 0.0000 0.0000
Li: 0.7500 0.7500 0.7500

---

(4)
The following is a GGA-PBEsol calculation of a relaxed Li2AgBr crystal, from the Alexandria database.

Values from the calculation:
Symmetry   Fm-3m
Energy relative to the elements, uncorrected   -432 meV/atom
ρ   4.33 Mg/m³
Calculated volume   19.33 A^3/atom
Energy relative to the lowest polymorph listed for this composition   0 meV per atom

a = 4.7822 Å, b = 4.7822 Å, c = 4.7822 Å
α = 60.00°, β = 60.00°, γ = 60.00°
Atoms (fractional coordinates):
Ag: 0.5000 0.5000 0.5000
Br: 0.0000 0.0000 0.0000
Li: 0.2500 0.2500 0.2500
Li: 0.7500 0.7500 0.7500

---

(5)
The following is a GGA-PBEsol calculation of a relaxed LiAg2Br crystal, from the Alexandria database.

Values from the calculation:
Symmetry   Pm
Energy relative to the elements, uncorrected   -407 meV/atom
ρ   6.47 Mg/m³
Calculated volume   19.41 A^3/atom
Energy relative to the lowest polymorph listed for this composition   0 meV per atom

a = 3.4421 Å, b = 3.4958 Å, c = 6.6805 Å
α = 104.99°, β = 90.00°, γ = 90.00°
Atoms (fractional coordinates):
Ag: 0.0000 0.0652 0.0062
Ag: 0.5000 0.6567 0.1916
Br: 0.0000 0.8502 0.5727
Li: 0.5000 0.4279 0.7295

---

(6)
The following is a GGA-PBEsol calculation of a relaxed LiAgBr crystal, from the Alexandria database.

Values from the calculation:
Symmetry   F-43m
Energy relative to the elements, uncorrected   -233 meV/atom
ρ   4.52 Mg/m³
Calculated volume   23.85 A^3/atom

a = 4.6597 Å, b = 4.6597 Å, c = 4.6597 Å
α = 60.00°, β = 60.00°, γ = 60.00°
Atoms (fractional coordinates):
Ag: 0.5000 0.5000 0.5000
Br: 0.2500 0.2500 0.2500
Li: 0.0000 0.0000 0.0000

---

(7)
The following is a GGA-PBEsol calculation of a relaxed LiAg2Br crystal, from the Alexandria database.

Values from the calculation:
Symmetry   Immm
Energy relative to the elements, uncorrected   -341 meV/atom
ρ   6.13 Mg/m³
Calculated volume   20.49 A^3/atom
Energy relative to the lowest polymorph listed for this composition   66 meV per atom

a = 3.4607 Å, b = 3.7131 Å, c = 6.8649 Å
α = 105.69°, β = 104.60°, γ = 90.00°
Atoms (fractional coordinates):
Ag: 0.7864 0.7864 0.5729
Ag: 0.2136 0.2136 0.4271
Br: 0.5000 0.0000 0.0000
Li: 0.0000 0.5000 0.0000

---

(8)
The following is a GGA-PBEsol calculation of a relaxed Li3AgBr crystal, from the Alexandria database.

Values from the calculation:
Symmetry   Pm-3m
Energy relative to the elements, uncorrected   -346 meV/atom
ρ   3.20 Mg/m³
Calculated volume   21.66 A^3/atom

a = 4.7666 Å, b = 4.7666 Å, c = 4.7666 Å
α = 90.00°, β = 90.00°, γ = 90.00°
Atoms (fractional coordinates):
Br: 0.0000 0.0000 0.0000
Ag: 0.5000 0.5000 0.5000
Li: 0.0000 0.5000 0.0000
Li: 0.0000 0.0000 0.5000
Li: 0.5000 0.0000 0.0000

---

(9)
The following is a GGA-PBEsol calculation of a relaxed LiAgBrN2 crystal, from the Alexandria database.

Values from the calculation:
Symmetry   P4/mmm
Energy relative to the elements, uncorrected   1549 meV/atom
ρ   4.58 Mg/m³
Calculated volume   16.16 A^3/atom

a = 3.7861 Å, b = 3.7861 Å, c = 5.6358 Å
α = 90.00°, β = 90.00°, γ = 90.00°
Atoms (fractional coordinates):
Li: 0.0000 0.0000 0.0000
Br: 0.5000 0.5000 0.5000
Ag: 0.0000 0.0000 0.5000
N: 0.0000 0.5000 0.0000
N: 0.5000 0.0000 0.0000

---

(10)
The following is a GGA-PBEsol calculation of a relaxed MgAgBr3 crystal, from the Alexandria database.

Values from the calculation:
Symmetry   Pm-3m
Energy relative to the elements, uncorrected   -619 meV/atom
ρ   4.53 Mg/m³
Calculated volume   27.26 A^3/atom

a = 5.1461 Å, b = 5.1461 Å, c = 5.1461 Å
α = 90.00°, β = 90.00°, γ = 90.00°
Atoms (fractional coordinates):
Mg: 0.0000 0.0000 0.0000
Br: 0.0000 0.5000 0.0000
Br: 0.0000 0.0000 0.5000
Br: 0.5000 0.0000 0.0000
Ag: 0.5000 0.5000 0.5000

---

(11)
The following is a GGA-PBEsol calculation of a relaxed MgAg2Br crystal, from the Alexandria database.

Values from the calculation:
Symmetry   I-4m2
Energy relative to the elements, uncorrected   24 meV/atom
ρ   6.65 Mg/m³
Calculated volume   19.97 A^3/atom

a = 4.0433 Å, b = 4.0433 Å, c = 5.6611 Å
α = 110.92°, β = 110.92°, γ = 90.00°
Atoms (fractional coordinates):
Ag: 0.0000 0.0000 0.0000
Ag: 0.7500 0.2500 0.5000
Br: 0.5000 0.5000 0.0000
Mg: 0.2500 0.7500 0.5000

---

(12)
The following is a GGA-PBEsol calculation of a relaxed MnAgBr crystal, from the Alexandria database.

Values from the calculation:
Symmetry   F-43m
Energy relative to the elements, uncorrected   765 meV/atom
ρ   6.18 Mg/m³
Calculated volume   21.72 A^3/atom
Energy relative to the lowest polymorph listed for this composition   579 meV per atom

a = 4.5171 Å, b = 4.5171 Å, c = 4.5171 Å
α = 60.00°, β = 60.00°, γ = 60.00°
Atoms (fractional coordinates):
Ag: 0.5000 0.5000 0.5000
Br: 0.2500 0.2500 0.2500
Mn: 0.0000 0.0000 0.0000

---

(13)
The following is a GGA-PBEsol calculation of a relaxed MnAgBr crystal, from the Alexandria database.

Values from the calculation:
Symmetry   P3m1
Energy relative to the elements, uncorrected   186 meV/atom
ρ   6.74 Mg/m³
Calculated volume   19.92 A^3/atom
Energy relative to the lowest polymorph listed for this composition   0 meV per atom

a = 3.3576 Å, b = 3.3576 Å, c = 6.1217 Å
α = 90.00°, β = 90.00°, γ = 120.00°
Atoms (fractional coordinates):
Ag: 0.0000 0.0000 0.0369
Br: 0.3333 0.6667 0.6244
Mn: 0.6667 0.3333 0.3387

---

(14)
The following is a GGA-PBEsol calculation of a relaxed Mn2ReAgBr crystal, from the Alexandria database.

Values from the calculation:
Symmetry   P4/mmm
Energy relative to the elements, uncorrected   1866 meV/atom
ρ   6.65 Mg/m³
Calculated volume   24.16 A^3/atom

a = 4.9275 Å, b = 4.9275 Å, c = 4.9754 Å
α = 90.00°, β = 90.00°, γ = 90.00°
Atoms (fractional coordinates):
Re: 0.0000 0.0000 0.5000
Mn: 0.0000 0.5000 0.0000
Mn: 0.5000 0.0000 0.0000
Br: 0.5000 0.5000 0.5000
Ag: 0.0000 0.0000 0.0000